Arrangement 1

Computed, not measured: a relaxed structure of Nd8Ag2Ir at the PBE level of DFT.

It has space group C2/m (No. 12), with a = 18.1601 Å, b = 5.2909 Å, c = 7.0459 Å, α = 90.00°, β = 103.78° and γ = 90.00°. The distinct sites, in fractional coordinates, are Nd at (0.0259, 0.0000, 0.2878), Nd at (0.0880, 0.5000, 0.9357), Nd at (0.1576, 0.5000, 0.4717), Nd at (0.2021, 0.0000, 0.8208), Ag at (0.1873, 0.0000, 0.2340) and Ir at (0.0000, 0.5000, 0.5000).

The calculation puts the density of states at the Fermi level at 24.84 states/eV per cell.

Arrangement 2

Computed, not measured: a relaxed structure of Nd8Ag2Ir at the PBE level of DFT.

It has space group Cm (No. 8), with a = 7.8131 Å, b = 16.3721 Å, c = 6.3585 Å, α = 90.00°, β = 122.69° and γ = 90.00°. The distinct sites, in fractional coordinates, are Nd at (0.0000, 0.0000, 0.0000), Nd at (0.0397, 0.3831, 0.8889), Nd at (0.0501, 0.5000, 0.3784), Nd at (0.2687, 0.1936, 0.2220), Nd at (0.4963, 0.3841, 0.5247), Ag at (0.2712, 0.2821, 0.7164) and Ir at (0.2718, 0.0000, 0.5165).

The calculation puts the density of states at the Fermi level at 24.81 states/eV per cell.

The most stable arrangement is arrangement 1, and the next structure is 0.043 eV/atom less stable.